No. 1
PrTa2Ru3 after structural relaxation, computed with PBE.

Summary:
The value obtained for the calculated volume is 18.1 A^3/atom. The value obtained for the energy of formation is -0.33 eV/atom. As for the size of the total moment: 0.000 μB per atom.

Lattice parameters (Å, degrees): 3.180 3.180 10.743 90.00 90.00 90.00
Positions (direct):
1 Pr 0.500 0.500 0.500
2 Ta 0.500 0.500 0.844
3 Ta 0.500 0.500 0.156
4 Ru 0.000 0.000 0.000
5 Ru 0.000 0.000 0.716
6 Ru 0.000 0.000 0.284

No. 2
TbPr3Ru after structural relaxation, computed with PBE.

Summary:
The value obtained for the calculated volume is 32.2 A^3/atom. The value obtained for the energy of formation is -0.10 eV/atom. As for the size of the total moment: 0.000 μB per atom.

Lattice parameters (Å, degrees): 7.546 7.546 7.546 101.77 119.59 107.59
Positions (direct):
1 Tb 0.501 0.781 0.220
2 Tb 0.561 0.281 0.780
3 Pr 0.031 0.241 0.708
4 Pr 0.031 0.822 0.290
5 Pr 0.532 0.741 0.710
6 Pr 0.015 0.283 0.232
7 Pr 0.532 0.322 0.292
8 Pr 0.051 0.783 0.768
9 Ru 0.534 0.032 0.002
10 Ru 0.029 0.532 0.998

No. 3
TbPrRu after structural relaxation, computed with PBE.

Summary:
The value obtained for the calculated volume is 28.5 A^3/atom. The value obtained for the energy of formation is -0.19 eV/atom. As for the size of the total moment: 0.000 μB per atom.

Lattice parameters (Å, degrees): 4.305 6.176 6.726 106.95 90.00 90.00
Positions (direct):
1 Tb 0.752 0.990 0.790
2 Tb 0.252 0.017 0.214
3 Pr 0.752 0.559 0.294
4 Pr 0.252 0.448 0.710
5 Ru 0.752 0.166 0.460
6 Ru 0.252 0.842 0.544

No. 4
TbPr3Ru after structural relaxation, computed with PBE.

Summary:
The value obtained for the calculated volume is 34.5 A^3/atom. The value obtained for the energy of formation is 0.07 eV/atom. As for the size of the total moment: 0.000 μB per atom.

Lattice parameters (Å, degrees): 5.567 5.567 5.567 90.00 90.00 90.00
Positions (direct):
1 Pr 0.000 0.500 0.000
2 Pr 0.000 0.000 0.500
3 Pr 0.500 0.000 0.000
4 Ru 0.000 0.000 0.000
5 Tb 0.500 0.500 0.500